# 1
DFT (GGA-PBE) results for crystalline NaTbTl2Cl6 at its relaxed geometry.

The structure in POSCAR format:
```
NaTbTl2Cl6
1.0
7.3808 0.0000 0.0000
0.0000 7.7102 0.0000
-7.2958 0.0000 10.5981
Na Tb Tl Cl
2 2 4 12
Direct
0.0000 0.0000 0.0000
0.0000 0.5000 0.5000
0.5000 0.0000 0.5000
0.5000 0.5000 0.0000
0.2294 0.0661 0.7483
0.2294 0.4339 0.2483
0.7706 0.5661 0.7517
0.7706 0.9339 0.2517
0.1634 0.1926 0.4559
0.1634 0.3074 0.9559
0.2634 0.7131 0.4534
0.2634 0.7869 0.9534
0.3485 0.0232 0.2571
0.3485 0.4768 0.7571
0.6515 0.5232 0.2429
0.6515 0.9768 0.7429
0.7366 0.2131 0.0466
0.7366 0.2869 0.5466
0.8366 0.6926 0.0441
0.8366 0.8074 0.5441
```

Raw formation energy (eV/atom): -1.716



# 2
DFT (GGA-PBE) results for crystalline RbNbRuC2 at its relaxed geometry.

The structure in POSCAR format:
```
RbNbRuC2
1.0
4.2028 0.0000 0.0000
0.0000 4.2028 0.0000
0.0000 0.0000 6.0346
Rb Nb Ru C
1 1 1 2
Direct
0.0000 0.0000 0.0000
0.0000 0.0000 0.5000
0.5000 0.5000 0.0000
0.0000 0.5000 0.5000
0.5000 0.0000 0.5000
```

Energy of formation (kJ/mol of atoms): 246



# 3
DFT (GGA-PBE) results for crystalline OsBr2Cl at its relaxed geometry.

The structure in POSCAR format:
```
OsBr2Cl
1.0
0.0000 3.4989 3.4989
3.4989 0.0000 3.4989
3.4989 3.4989 0.0000
Os Br Cl
1 2 1
Direct
0.0000 0.0000 0.0000
0.2500 0.2500 0.2500
0.5000 0.5000 0.5000
0.7500 0.7500 0.7500
```

Polymorph energy (0 for the lowest one) (eV/f.u.): 5.44
Raw formation energy (eV/atom): 1.366



# 4
DFT (GGA-PBE) results for crystalline LiSeSN2 at its relaxed geometry.

The structure in POSCAR format:
```
LiSeSN2
1.0
3.4126 0.0000 0.0000
0.0000 3.4126 0.0000
0.0000 0.0000 6.6821
Li Se S N
1 1 1 2
Direct
0.0000 0.0000 0.0000
0.5000 0.5000 0.0000
0.5000 0.5000 0.5000
0.0000 0.5000 0.5000
0.5000 0.0000 0.5000
```

Polymorph energy (0 for the lowest one) (eV/f.u.): 0.00
Raw formation energy (eV/atom): 1.095



| no. | calculated density (g/cm³) |
| --- | --- |
| 1 | 4.424 |
| 2 | 4.727 |
| 3 | 7.472 |
| 4 | 3.115 |